Record 1
The following is a DFT calculation (PBE) of a geometry-optimized Ac2Tb5Er4 structure.

```
data_Ac2Tb5Er4
_cell_length_a 6.2522
_cell_length_b 8.0955
_cell_length_c 8.0998
_cell_angle_alpha 107.42
_cell_angle_beta 105.04
_cell_angle_gamma 97.27
_symmetry_space_group_name_H-M 'P -1'
_symmetry_Int_Tables_number 2
loop_
_symmetry_equiv_pos_as_xyz
'x,y,z'
'-x,-y,-z'
loop_
_atom_site_label
_atom_site_type_symbol
_atom_site_fract_x
_atom_site_fract_y
_atom_site_fract_z
_atom_site_occupancy
Ac1 Ac 0.1396 0.2324 0.0475 1
Tb1 Tb 0.2284 0.0466 0.4151 1
Tb2 Tb 0.4116 0.6853 0.1423 1
Tb3 Tb 0.5000 0.5000 0.5000 1
Er1 Er 0.0484 0.4079 0.6746 1
Er2 Er 0.3181 0.8629 0.7665 1
```

---

Record 2
# AcTb2Er PBE relaxed
# **Distance to the lowest polymorph of the same formula**: 97 meV/atom
data_AcTb2Er
_cell_length_a 8.2298
_cell_length_b 8.2298
_cell_length_c 8.2298
_cell_angle_alpha 90.00
_cell_angle_beta 90.00
_cell_angle_gamma 90.00
_symmetry_space_group_name_H-M 'F m -3 m'
_symmetry_Int_Tables_number 225
_symmetry_space_group_name_Hall '-F 4 2 3'
loop_
_atom_site_label
_atom_site_type_symbol
_atom_site_fract_x
_atom_site_fract_y
_atom_site_fract_z
_atom_site_occupancy
Ac1 Ac 0.0000 0.0000 0.0000 1
Tb1 Tb 0.2500 0.2500 0.2500 1
Er1 Er 0.0000 0.0000 0.5000 1

---

Record 3
The following is a DFT calculation (PBE) of a geometry-optimized Ac3Tb2Er structure.

```
data_Ac3Tb2Er
_cell_length_a 10.7461
_cell_length_b 7.5142
_cell_length_c 12.4967
_cell_angle_alpha 90.00
_cell_angle_beta 115.41
_cell_angle_gamma 90.00
_symmetry_space_group_name_H-M 'C 1 2/c 1'
_symmetry_Int_Tables_number 15
loop_
_symmetry_equiv_pos_as_xyz
'x,y,z'
'-x,-y,-z'
'-x,y,-z+1/2'
'x,-y,z+1/2'
'x+1/2,y+1/2,z'
'-x+1/2,-y+1/2,-z'
'-x+1/2,y+1/2,-z+1/2'
'x+1/2,-y+1/2,z+1/2'
loop_
_atom_site_label
_atom_site_type_symbol
_atom_site_fract_x
_atom_site_fract_y
_atom_site_fract_z
_atom_site_occupancy
Ac1 Ac 0.0000 0.1263 0.2500 1
Ac2 Ac 0.1670 0.3758 0.0831 1
Tb1 Tb 0.1665 0.1242 0.5840 1
Er1 Er 0.0000 0.3739 0.7500 1
```

---

These records have density values of 8.64, 8.49, 8.50 Mg/m³, in the order they appear.
These records have energy of formation values of 0.05, 0.15, 0.08 eV/atom, in the order they appear.